ScSi2Cl PBE relaxed; total moment = 0.01 μB/cell; DOS(E_F) = 0.4955 states/eV per atom; calculated volume = 84 Å³ per cell; formation energy (no corrections) = -0.486 eV per atom
1.0
3.1591 0.0000 0.0000
0.0000 3.1591 0.0000
0.0000 0.0000 8.4661
Sc Si Cl
1 2 1
Cartesian
0.0000 0.0000 0.0000 Sc
0.0000 0.0000 3.1210 Si
1.5795 1.5795 1.8495 Si
1.5795 1.5795 6.8961 Cl

***

Sc2SiCl PBE relaxed; total moment = 0.00 μB/cell; DOS(E_F) = 0.6019 states/eV per atom; calculated volume = 78 Å³ per cell; formation energy (no corrections) = -0.721 eV per atom
1.0
-2.0909 2.6862 3.4831
2.0909 -2.6862 3.4831
2.0909 2.6862 -3.4831
Sc Si Cl
2 1 1
Cartesian
0.0000 0.0000 1.7039 Sc
0.0000 0.0000 5.2624 Sc
0.0000 2.6862 0.0000 Si
2.0909 0.0000 0.0000 Cl

***

- Among the records above, which one has the highest formation energy (no corrections)?
  ScSi2Cl

***

- The highest calculated volume belongs to which entry?
  ScSi2Cl